{"formula": "SrAl3Au2", "functional": "PBE", "state": "relaxed", "formation_enthalpy_0k_ev_per_atom": -0.560, "volume_a3_per_cell": 374.2, "e_above_lowest_polymorph_mev_per_atom": 0, "e_tot_ev_per_atom": -3.805, "cell": [[-0.573, 4.248, 0.126], [-1.835, -2.163, -8.397], [-9.023, -1.375, 5.295]], "species": ["Sr", "Sr", "Sr", "Al", "Al", "Al", "Al", "Al", "Al", "Al", "Al", "Al", "Au", "Au", "Au", "Au", "Au", "Au"], "frac_coords": [[0.156, 0.312, 0.705], [0.844, 0.688, 0.295], [0.000, 0.000, 0.000], [0.044, 0.089, 0.361], [0.956, 0.911, 0.639], [0.212, 0.425, 0.383], [0.788, 0.575, 0.617], [0.629, 0.259, 0.203], [0.371, 0.741, 0.797], [0.500, 0.000, 0.500], [0.330, 0.659, 0.033], [0.670, 0.341, 0.967], [0.200, 0.400, 0.125], [0.800, 0.600, 0.875], [0.474, 0.949, 0.220], [0.526, 0.051, 0.780], [0.355, 0.710, 0.543], [0.645, 0.290, 0.457]]}